Record 1
# Cs3BeO3

A relaxed structure of Cs3BeO3 (GGA-PBE, Alexandria).

Lattice parameters (Å, degrees): 8.3474 14.4319 6.0030 90.00 90.00 90.00
Space group Cmcm (No. 63)
Inequivalent atoms, fractional coordinates:
Cs  0.0000  0.1797  0.2500 [4 per cell]
Cs  0.2296  0.4102  0.2500 [8 per cell]
Be  0.0000  0.3331  0.7500 [4 per cell]
O  0.0000  0.2253  0.7500 [4 per cell]
O  0.1613  0.3872  0.7500 [8 per cell]

Energy: -4.45 eV/atom

---

Record 2
# Sc2SN

A relaxed structure of Sc2SN (GGA-PBE, Alexandria).

Lattice parameters (Å, degrees): 5.4461 5.4461 10.0209 90.00 90.00 90.00
Space group I-42d (No. 122)
Inequivalent atoms, fractional coordinates:
Sc  0.1855  0.2500  0.1250 [8 per cell]
S  0.0000  0.0000  0.5000 [4 per cell]
N  0.0000  0.0000  0.0000 [4 per cell]

Relative energy among the computed polymorphs: 274 meV/atom